(1)
First-principles (GGA-PBE) data for TaIn4Se after structural relaxation, as listed in Alexandria via LeMat-Bulk.

Properties
**ΔE_f (raw)**: 3.49 eV per formula unit
**Total magnetization**: 0.00 μB per cell

Lattice parameters (Å, degrees): 8.218 8.218 8.218 90.00 90.00 90.00
Space group F-43m (No. 216)
Symmetry-distinct sites (fractional):
Ta  0.000  0.000  0.000 (multiplicity 4)
In  0.125  0.125  0.625 (multiplicity 16)
Se  0.250  0.250  0.250 (multiplicity 4)

(2)
First-principles (GGA-PBE) data for TaAl3Sb after structural relaxation, as listed in Alexandria via LeMat-Bulk.

Properties
**Energy relative to the lowest polymorph listed for this composition**: 701 meV per atom
**ΔE_f (raw)**: 7.97 eV per formula unit
**Total magnetization**: 1.89 μB per cell

Lattice parameters (Å, degrees): 5.096 5.096 5.096 90.00 90.00 90.00
Space group Pm-3m (No. 221)
Symmetry-distinct sites (fractional):
Ta  0.000  0.000  0.000 (multiplicity 1)
Al  0.000  0.500  0.500 (multiplicity 3)
Sb  0.500  0.500  0.500 (multiplicity 1)

(3)
First-principles (GGA-PBE) data for Ni3PPd after structural relaxation, as listed in Alexandria via LeMat-Bulk.

Properties
**Energy relative to the lowest polymorph listed for this composition**: 0 meV per atom
**Total magnetization**: 1.06 μB per cell

Lattice parameters (Å, degrees): 4.129 4.129 4.129 90.00 90.00 90.00
Space group Pm-3m (No. 221)
Symmetry-distinct sites (fractional):
Ni  0.000  0.000  0.500 (multiplicity 3)
P  0.000  0.000  0.000 (multiplicity 1)
Pd  0.500  0.500  0.500 (multiplicity 1)

| no. | Fermi-level density of states (states/eV/cell) |
| --- | --- |
| 1 | 11.7 |
| 2 | 5.0 |
| 3 | 7.6 |